(1)
A crystal of CaBe2Ru2 relaxed with PBEsol. Source: Alexandria via LeMat-Bulk, functional meta-GGA SCAN.

Cell and atoms, written as extended XYZ:
```
5
Lattice="4.118 0.000 0.000 0.000 4.118 0.000 -2.059 -2.059 4.302" Properties=species:S:1:pos:R:3 pbc="T T T"
Ru 0.000 0.000 3.113
Ru 2.059 2.059 1.189
Ca 0.000 0.000 0.000
Be 0.000 2.059 2.151
Be 2.059 0.000 2.151
```

Calculated values
Space group: I4/mmm
VASP energy: -17.6155 eV/atom

=====

(2)
A crystal of CaBe3Ru relaxed with PBEsol. Source: Alexandria via LeMat-Bulk, functional meta-GGA SCAN.

Cell and atoms, written as extended XYZ:
```
5
Lattice="4.260 0.000 0.000 0.000 4.260 0.000 0.000 0.000 4.260" Properties=species:S:1:pos:R:3 pbc="T T T"
Ru 0.000 0.000 0.000
Ca 2.130 2.130 2.130
Be 0.000 2.130 0.000
Be 0.000 0.000 2.130
Be 2.130 0.000 0.000
```

Calculated values
Space group: Pm-3m
VASP energy: -11.5314 eV/atom

=====

(3)
A crystal of CaBeRu3 relaxed with PBEsol. Source: Alexandria via LeMat-Bulk, functional meta-GGA SCAN.

Cell and atoms, written as extended XYZ:
```
5
Lattice="4.212 0.000 0.000 0.000 4.212 0.000 0.000 0.000 4.212" Properties=species:S:1:pos:R:3 pbc="T T T"
Ru 0.000 2.106 0.000
Ru 0.000 0.000 2.106
Ru 2.106 0.000 0.000
Ca 2.106 2.106 2.106
Be 0.000 0.000 0.000
```

Calculated values
Space group: Pm-3m
VASP energy: -23.2792 eV/atom
Energy relative to the lowest polymorph listed for this composition: 0.000 eV per atom

=====

(4)
A crystal of CaBeRu3 relaxed with PBEsol. Source: Alexandria via LeMat-Bulk, functional meta-GGA SCAN.

Cell and atoms, written as extended XYZ:
```
5
Lattice="-0.087 -1.268 -4.310 -3.231 -2.978 0.942 -3.122 3.118 -0.854" Properties=species:S:1:pos:R:3 pbc="T T T"
Ru -1.616 -1.489 0.471
Ru -1.561 1.559 -0.427
Ru -0.044 -0.634 -2.155
Ca 0.000 0.000 0.000
Be -3.220 -0.564 -2.111
```

Calculated values
Space group: Pm-3m
VASP energy: -21.0506 eV/atom
Energy relative to the lowest polymorph listed for this composition: 2.229 eV per atom

=====

(5)
A crystal of CaBeRu relaxed with PBEsol. Source: Alexandria via LeMat-Bulk, functional meta-GGA SCAN.

Cell and atoms, written as extended XYZ:
```
3
Lattice="-2.077 1.729 -2.740 0.822 -3.749 -0.286 -3.373 -0.892 1.994" Properties=species:S:1:pos:R:3 pbc="T T T"
Ru -2.797 -0.543 -0.925
Ca -0.144 -1.923 -1.104
Be -1.687 -0.446 0.997
```

Calculated values
Space group: P-6m2
VASP energy: -16.1559 eV/atom

=====

(6)
A crystal of CaBe3S relaxed with PBEsol. Source: Alexandria via LeMat-Bulk, functional meta-GGA SCAN.

Cell and atoms, written as extended XYZ:
```
5
Lattice="4.296 0.000 0.000 0.000 4.296 0.000 0.000 0.000 4.296" Properties=species:S:1:pos:R:3 pbc="T T T"
Be 0.000 2.148 0.000
Be 0.000 0.000 2.148
Be 2.148 0.000 0.000
Ca 2.148 2.148 2.148
S 0.000 0.000 0.000
```

Calculated values
Space group: Pm-3m
VASP energy: -5.8644 eV/atom
Formation energy (no corrections): 0.61 eV per atom

=====

(7)
A crystal of CaScBe2S relaxed with PBEsol. Source: Alexandria via LeMat-Bulk, functional meta-GGA SCAN.

Cell and atoms, written as extended XYZ:
```
5
Lattice="-2.644 1.145 3.754 -2.036 -4.270 -0.131 3.430 -1.726 2.942" Properties=species:S:1:pos:R:3 pbc="T T T"
Sc -0.625 -2.425 3.283
Be -1.018 -2.135 -0.066
Be -1.322 0.573 1.877
Ca 0.000 0.000 0.000
S 1.715 -0.863 1.471
```

Calculated values
Space group: P4/mmm
VASP energy: -7.5223 eV/atom
Formation energy (no corrections): 0.92 eV per atom

=====

(8)
A crystal of CaBeSb2 relaxed with PBEsol. Source: Alexandria via LeMat-Bulk, functional meta-GGA SCAN.

Cell and atoms, written as extended XYZ:
```
4
Lattice="3.801 0.000 0.000 0.000 3.801 0.000 0.000 0.000 6.615" Properties=species:S:1:pos:R:3 pbc="T T T"
Sb 0.000 0.000 0.115
Sb 1.901 1.901 2.099
Ca 1.901 1.901 5.105
Be 0.000 0.000 2.603
```

Calculated values
Space group: P4mm
VASP energy: -22.1176 eV/atom
Formation energy (no corrections): 0.02 eV per atom

=====

(9)
A crystal of CaBeSb2 relaxed with PBEsol. Source: Alexandria via LeMat-Bulk, functional meta-GGA SCAN.

Cell and atoms, written as extended XYZ:
```
4
Lattice="3.842 0.000 0.000 0.000 4.755 0.000 -1.921 -2.378 5.015" Properties=species:S:1:pos:R:3 pbc="T T T"
Sb 0.000 0.000 0.023
Sb 1.921 0.000 2.997
Ca 0.000 2.378 2.312
Be 0.000 0.000 4.698
```

Calculated values
Space group: Imm2
VASP energy: -22.1912 eV/atom
Formation energy (no corrections): -0.06 eV per atom

=====

(10)
A crystal of CaBe2Sb relaxed with PBEsol. Source: Alexandria via LeMat-Bulk, functional meta-GGA SCAN.

Cell and atoms, written as extended XYZ:
```
4
Lattice="3.845 0.000 0.000 1.923 3.330 0.000 1.923 1.110 5.841" Properties=species:S:1:pos:R:3 pbc="T T T"
Sb 5.768 3.330 5.066
Ca 3.845 2.220 2.611
Be 5.768 3.330 0.626
Be 1.923 1.110 0.622
```

Calculated values
Space group: R3m
VASP energy: -13.9932 eV/atom
Formation energy (no corrections): -0.09 eV per atom

=====

(11)
A crystal of CaBe2Sb relaxed with PBEsol. Source: Alexandria via LeMat-Bulk, functional meta-GGA SCAN.

Cell and atoms, written as extended XYZ:
```
4
Lattice="-1.887 0.573 3.514 0.361 -2.723 2.948 3.940 1.982 4.103" Properties=species:S:1:pos:R:3 pbc="T T T"
Sb 0.000 0.000 0.000
Ca 1.207 -0.084 5.282
Be 0.223 -0.273 2.474
Be 2.191 0.105 8.090
```

Calculated values
Space group: R-3m
VASP energy: -13.7168 eV/atom
Formation energy (no corrections): 0.19 eV per atom

=====

(12)
A crystal of CaBeSb2 relaxed with PBEsol. Source: Alexandria via LeMat-Bulk, functional meta-GGA SCAN.

Cell and atoms, written as extended XYZ:
```
4
Lattice="4.161 0.000 0.000 0.000 4.624 0.000 0.000 0.000 4.624" Properties=species:S:1:pos:R:3 pbc="T T T"
Sb 0.000 0.000 2.312
Sb 0.000 2.312 0.000
Ca 2.080 2.312 2.312
Be 2.080 0.000 0.000
```

Calculated values
Space group: P4/mmm
VASP energy: -22.2090 eV/atom
Formation energy (no corrections): -0.07 eV per atom

=====

(13)
A crystal of CaBeSb2 relaxed with PBEsol. Source: Alexandria via LeMat-Bulk, functional meta-GGA SCAN.

Cell and atoms, written as extended XYZ:
```
4
Lattice="3.283 0.000 0.000 0.000 3.283 0.000 0.000 0.000 8.630" Properties=species:S:1:pos:R:3 pbc="T T T"
Sb 0.000 0.000 8.492
Sb 1.641 1.641 2.800
Ca 1.641 1.641 6.156
Be 0.000 0.000 4.126
```

Calculated values
Space group: P4mm
VASP energy: -22.0552 eV/atom
Formation energy (no corrections): 0.08 eV per atom

=====

(14)
A crystal of CaSc2Be relaxed with PBEsol. Source: Alexandria via LeMat-Bulk, functional meta-GGA SCAN.

Cell and atoms, written as extended XYZ:
```
4
Lattice="-1.664 -2.883 -0.162 1.371 -2.632 -1.517 3.968 -4.666 8.021" Properties=species:S:1:pos:R:3 pbc="T T T"
Sc 1.020 -6.428 1.092
Sc 2.655 -3.753 5.250
Be 1.838 -5.090 3.171
Ca 0.000 0.000 0.000
```

Calculated values
Space group: R-3m
VASP energy: -10.2661 eV/atom

=====

(15)
A crystal of Ca2ScBe relaxed with PBEsol. Source: Alexandria via LeMat-Bulk, functional meta-GGA SCAN.

Cell and atoms, written as extended XYZ:
```
4
Lattice="3.295 0.000 0.000 0.000 4.168 0.000 -1.648 -2.084 8.095" Properties=species:S:1:pos:R:3 pbc="T T T"
Sc 1.648 0.000 0.000
Be 0.000 2.084 0.000
Ca 1.648 2.084 2.577
Ca 0.000 0.000 5.519
```

Calculated values
Space group: Immm
VASP energy: -9.1946 eV/atom

=====

(16)
A crystal of CaSc2Be relaxed with PBEsol. Source: Alexandria via LeMat-Bulk, functional meta-GGA SCAN.

Cell and atoms, written as extended XYZ:
```
4
Lattice="-2.477 -1.809 0.670 3.669 -3.632 1.643 -0.765 4.760 3.729" Properties=species:S:1:pos:R:3 pbc="T T T"
Sc -0.382 2.380 1.865
Sc 0.214 -0.341 3.021
Be -1.238 -0.905 0.335
Ca 1.834 -1.816 0.821
```

Calculated values
Space group: C2/m
VASP energy: -10.1177 eV/atom

=====

(17)
A crystal of CaScBe relaxed with PBEsol. Source: Alexandria via LeMat-Bulk, functional meta-GGA SCAN.

Cell and atoms, written as extended XYZ:
```
3
Lattice="-1.568 2.020 2.681 1.710 -2.889 3.178 2.455 3.681 -1.337" Properties=species:S:1:pos:R:3 pbc="T T T"
Sc 1.625 -0.269 2.243
Be -0.154 0.198 0.263
Ca 1.126 2.883 2.015
```

Calculated values
Space group: P3m1
VASP energy: -8.9595 eV/atom

=====

(18)
A crystal of Ca2ScBe relaxed with PBEsol. Source: Alexandria via LeMat-Bulk, functional meta-GGA SCAN.

Cell and atoms, written as extended XYZ:
```
4
Lattice="-2.293 2.012 1.600 -3.132 -0.109 -4.352 0.072 -5.562 3.391" Properties=species:S:1:pos:R:3 pbc="T T T"
Sc -1.470 0.440 1.047
Be -1.244 -2.173 0.950
Ca -3.532 -3.160 2.621
Ca -4.038 -1.364 -0.364
```

Calculated values
Space group: Imm2
VASP energy: -9.1879 eV/atom

=====

(19)
A crystal of CaSc2Be relaxed with PBEsol. Source: Alexandria via LeMat-Bulk, functional meta-GGA SCAN.

Cell and atoms, written as extended XYZ:
```
4
Lattice="4.445 0.000 0.000 0.000 4.445 0.000 0.000 0.000 4.414" Properties=species:S:1:pos:R:3 pbc="T T T"
Sc 0.000 2.223 0.000
Sc 2.223 0.000 0.000
Be 2.223 2.223 2.207
Ca 0.000 0.000 2.207
```

Calculated values
Space group: P4/mmm
VASP energy: -10.2407 eV/atom

=====

(20)
A crystal of CaSc2Be relaxed with PBEsol. Source: Alexandria via LeMat-Bulk, functional meta-GGA SCAN.

Cell and atoms, written as extended XYZ:
```
8
Lattice="-5.225 1.111 -2.670 -2.368 -4.382 -3.867 -5.291 -1.769 2.940" Properties=species:S:1:pos:R:3 pbc="T T T"
Sc -4.604 -1.957 -3.492
Sc -6.974 -3.361 0.562
Sc -4.420 -0.634 0.037
Sc -9.771 -4.129 -4.302
Be -5.136 -2.798 -1.131
Be -2.612 0.555 -1.335
Ca -7.748 -2.243 -2.466
Ca 0.000 0.000 0.000
```

Calculated values
Space group: I-42d
VASP energy: -10.2047 eV/atom

=====

(21)
A crystal of Ca3BeSe relaxed with PBEsol. Source: Alexandria via LeMat-Bulk, functional meta-GGA SCAN.

Cell and atoms, written as extended XYZ:
```
5
Lattice="5.289 0.000 0.000 0.000 5.289 0.000 0.000 0.000 5.289" Properties=species:S:1:pos:R:3 pbc="T T T"
Be 0.000 0.000 0.000
Ca 0.000 2.644 0.000
Ca 0.000 0.000 2.644
Ca 2.644 0.000 0.000
Se 2.644 2.644 2.644
```

Calculated values
Space group: Pm-3m
VASP energy: -10.8542 eV/atom
Formation energy (no corrections): -0.17 eV per atom

=====

(22)
A crystal of CaBeSe2 relaxed with PBEsol. Source: Alexandria via LeMat-Bulk, functional meta-GGA SCAN.

Cell and atoms, written as extended XYZ:
```
4
Lattice="3.615 0.000 0.000 1.808 4.849 0.120 1.808 0.854 4.775" Properties=species:S:1:pos:R:3 pbc="T T T"
Be 1.808 0.000 0.000
Ca 1.808 2.852 2.448
Se 3.615 4.564 3.917
Se 3.615 1.140 0.979
```

Calculated values
Space group: Immm
VASP energy: -14.5223 eV/atom
Formation energy (no corrections): -0.98 eV per atom

=====

(23)
A crystal of CaBe2Se relaxed with PBEsol. Source: Alexandria via LeMat-Bulk, functional meta-GGA SCAN.

Cell and atoms, written as extended XYZ:
```
4
Lattice="3.284 0.000 0.000 0.000 4.444 0.000 -1.642 -2.222 4.810" Properties=species:S:1:pos:R:3 pbc="T T T"
Be 1.642 2.222 2.055
Be 0.000 0.000 2.755
Ca 1.642 0.000 0.000
Se 0.000 2.222 0.000
```

Calculated values
Space group: Immm
VASP energy: -9.5143 eV/atom
Formation energy (no corrections): 0.10 eV per atom

=====

(24)
A crystal of CaBe2ZnSe relaxed with PBEsol. Source: Alexandria via LeMat-Bulk, functional meta-GGA SCAN.

Cell and atoms, written as extended XYZ:
```
5
Lattice="-3.620 1.762 1.700 -2.349 -3.357 -1.523 0.840 -2.641 4.525" Properties=species:S:1:pos:R:3 pbc="T T T"
Be -1.175 -1.678 -0.761
Be -1.810 0.881 0.850
Zn -2.565 -2.118 2.351
Ca 0.420 -1.320 2.263
Se 0.000 0.000 0.000
```

Calculated values
Space group: P4/mmm
VASP energy: -9.9798 eV/atom
Formation energy (no corrections): 0.41 eV per atom

=====

(25)
A crystal of Ca4BeSi relaxed with PBEsol. Source: Alexandria via LeMat-Bulk, functional meta-GGA SCAN.

Cell and atoms, written as extended XYZ:
```
6
Lattice="-4.531 -3.609 2.410 0.353 -1.914 5.964 -3.934 2.348 4.286" Properties=species:S:1:pos:R:3 pbc="T T T"
Be 0.000 0.000 0.000
Ca -3.047 -1.192 4.755
Ca -5.004 -0.024 6.888
Ca -5.301 -2.988 5.954
Ca -2.871 -2.145 7.723
Si -6.084 -2.381 9.495
```

Calculated values
Space group: F-43m
VASP energy: -7.9251 eV/atom
Formation energy (no corrections): 0.91 eV per atom

=====

(26)
A crystal of CaYBe2Si relaxed with PBEsol. Source: Alexandria via LeMat-Bulk, functional meta-GGA SCAN.

Cell and atoms, written as extended XYZ:
```
5
Lattice="-1.442 2.669 3.217 0.021 -3.398 2.829 4.843 1.087 1.269" Properties=species:S:1:pos:R:3 pbc="T T T"
Y 1.711 0.179 3.658
Be 0.011 -1.699 1.415
Be -0.721 1.334 1.608
Ca 2.421 0.544 0.635
Si 0.000 0.000 0.000
```

Calculated values
Space group: P4/mmm
VASP energy: -10.6784 eV/atom
Formation energy (no corrections): 0.57 eV per atom

=====

(27)
A crystal of Ca2Be2Sn relaxed with PBEsol. Source: Alexandria via LeMat-Bulk, functional meta-GGA SCAN.

Cell and atoms, written as extended XYZ:
```
5
Lattice="4.424 0.000 0.000 0.000 4.424 0.000 -2.212 -2.212 5.627" Properties=species:S:1:pos:R:3 pbc="T T T"
Be 0.000 0.000 4.628
Be 2.212 2.212 0.999
Ca 0.000 2.212 2.813
Ca 2.212 0.000 2.813
Sn 0.000 0.000 0.000
```

Calculated values
Space group: I4/mmm
VASP energy: -12.3795 eV/atom

=====

(28)
A crystal of SrCaBe2 relaxed with PBEsol. Source: Alexandria via LeMat-Bulk, functional meta-GGA SCAN.

Cell and atoms, written as extended XYZ:
```
4
Lattice="-1.963 0.437 -4.278 0.861 -3.235 -3.337 -4.538 -3.722 -0.910" Properties=species:S:1:pos:R:3 pbc="T T T"
Sr 0.000 0.000 0.000
Ca -2.820 -3.260 -4.262
Be -2.184 -2.148 -1.829
Be -3.456 -4.372 -6.696
```

Calculated values
Space group: R-3m
VASP energy: -9.7094 eV/atom
Energy relative to the lowest polymorph listed for this composition: 0.000 eV per atom

=====

(29)
A crystal of SrCaBe2 relaxed with PBEsol. Source: Alexandria via LeMat-Bulk, functional meta-GGA SCAN.

Cell and atoms, written as extended XYZ:
```
4
Lattice="3.680 0.000 0.000 0.000 3.680 0.000 0.000 0.000 6.953" Properties=species:S:1:pos:R:3 pbc="T T T"
Sr 1.840 1.840 3.477
Ca 1.840 1.840 0.000
Be 0.000 0.000 5.676
Be 0.000 0.000 1.278
```

Calculated values
Space group: P4/mmm
VASP energy: -9.7009 eV/atom
Energy relative to the lowest polymorph listed for this composition: 0.008 eV per atom

=====

(30)
A crystal of SrCaYBe2 relaxed with PBEsol. Source: Alexandria via LeMat-Bulk, functional meta-GGA SCAN.

Cell and atoms, written as extended XYZ:
```
5
Lattice="5.059 0.000 0.000 0.000 5.059 0.000 0.000 0.000 5.156" Properties=species:S:1:pos:R:3 pbc="T T T"
Y 2.529 2.529 2.578
Sr 0.000 0.000 0.000
Ca 0.000 0.000 2.578
Be 0.000 2.529 0.000
Be 2.529 0.000 0.000
```

Calculated values
Space group: P4/mmm
VASP energy: -12.2701 eV/atom